Version A
# Tc3WS PBE optimized geometry
# Crystal system: cubic
data_Tc3WS
_cell_length_a 4.752
_cell_length_b 4.752
_cell_length_c 4.752
_cell_angle_alpha 90.00
_cell_angle_beta 90.00
_cell_angle_gamma 90.00
_symmetry_space_group_name_H-M 'P m -3 m'
_symmetry_Int_Tables_number 221
_symmetry_space_group_name_Hall '-P 4 2 3'
loop_
_atom_site_label
_atom_site_type_symbol
_atom_site_fract_x
_atom_site_fract_y
_atom_site_fract_z
Tc1 Tc 0.000 0.000 0.500
W1 W 0.000 0.000 0.000
S1 S 0.500 0.500 0.500

***

Version B
# Tc3WS PBE optimized geometry
# Crystal system: cubic
data_Tc3WS
_cell_length_a 4.303
_cell_length_b 4.303
_cell_length_c 4.303
_cell_angle_alpha 90.00
_cell_angle_beta 90.00
_cell_angle_gamma 90.00
_symmetry_space_group_name_H-M 'P m -3 m'
_symmetry_Int_Tables_number 221
_symmetry_space_group_name_Hall '-P 4 2 3'
loop_
_atom_site_label
_atom_site_type_symbol
_atom_site_fract_x
_atom_site_fract_y
_atom_site_fract_z
Tc1 Tc 0.000 0.000 0.500
W1 W 0.500 0.500 0.500
S1 S 0.000 0.000 0.000

***

Q: Which of them is the least stable? A: version A.